LiGeIr2: single point on PBEsol structure, meta-GGA SCAN.

Lattice parameters (Å, degrees): 4.9214 5.6687 5.6687 79.14 64.27 64.27
Last column: nearest neighbours and their distance in Å.
Fractional coordinates of all 8 atoms:
Ge: 0.0000 0.0000 0.0000  4 Ir 2.35, 2 Li 2.46
Ge: 0.7500 0.5000 0.5000  4 Ir 2.35, 2 Li 2.46
Ir: 0.8750 0.0592 0.4408  2 Ge 2.35, 2 Ir 2.60
Ir: 0.3750 0.9408 0.5592  2 Ge 2.35, 2 Ir 2.60
Ir: 0.6842 0.4408 0.9408  2 Ge 2.35, 2 Ir 2.60
Ir: 0.0658 0.5592 0.0592  2 Ge 2.35, 2 Ir 2.60
Li: 0.5000 0.0000 0.0000  2 Ge 2.46
Li: 0.2500 0.5000 0.5000  2 Ge 2.46

Properties
- E_form (eV/atom) = 0.1087